Entry P
## NiHg2W (PBE)

Data for a relaxed NiHg2W crystal.

Cell: 10.050 10.050 10.050 Å, 16.65 16.65 16.65°
Fractional coordinates of all 4 atoms:
W 0.762 0.762 0.762
Ni 0.493 0.493 0.493
Hg 0.008 0.008 0.008
Hg 0.237 0.237 0.237

Summary:
calculated volume = 18.2 A^3/atom
theoretical density = 14714 kg/m3



Entry Q
## NiHg2W (PBE)

Data for a relaxed NiHg2W crystal.

Cell: 4.220 4.048 4.048 Å, 90.00 90.00 90.00°
Fractional coordinates of all 4 atoms:
W 0.500 0.000 0.500
Ni 0.500 0.500 0.000
Hg 0.000 0.500 0.500
Hg 0.000 0.000 0.000

Summary:
calculated volume = 17.3 A^3/atom
theoretical density = 15455 kg/m3



Entry R
## NiHg2W (PBE)

Data for a relaxed NiHg2W crystal.

Cell: 9.214 9.214 9.214 Å, 18.56 18.56 18.56°
Site moments in Bohr magnetons follow the coordinates.
Fractional coordinates of all 4 atoms:
Ni 0.250 0.250 0.250  0.30
W 0.750 0.750 0.750  0.07
Hg 0.506 0.506 0.506  0.00
Hg 0.994 0.994 0.994  0.00

Summary:
calculated volume = 17.3 A^3/atom
theoretical density = 15438 kg/m3



Entry S
## NiHg2W (PBE)

Data for a relaxed NiHg2W crystal.

Cell: 2.870 2.871 8.242 Å, 90.00 90.00 90.00°
Fractional coordinates of all 4 atoms:
Hg 0.000 0.000 0.478
W 0.500 0.500 0.750
Hg 0.000 0.000 0.022
Ni 0.500 0.500 0.250

Summary:
calculated volume = 17.0 A^3/atom
theoretical density = 15738 kg/m3



Energy ordering: entry P at the bottom, the next structure 0.183 eV/atom above.



Entry P
## NiHg2W (PBE)

Data for a relaxed NiHg2W crystal.

Cell: 5.603 5.603 5.603 Å, 149.96 127.70 61.49°
Fractional coordinates of all 4 atoms:
Hg 0.521 0.521 0.000
Hg 0.979 0.979 0.000
W 0.250 0.750 0.500
Ni 0.750 0.250 0.500

Summary:
calculated volume = 17.3 A^3/atom
theoretical density = 15483 kg/m3



Entry Q
## NiHg2W (PBE)

Data for a relaxed NiHg2W crystal.

Cell: 4.989 4.989 5.175 Å, 76.55 76.55 33.74°
Site moments in Bohr magnetons follow the coordinates.
Fractional coordinates of all 4 atoms:
Ni 0.750 0.750 0.750  0.03
Hg 0.011 0.011 0.990  0.00
W 0.250 0.250 0.250  0.11
Hg 0.489 0.489 0.510  0.00

Summary:
calculated volume = 17.4 A^3/atom
theoretical density = 15401 kg/m3



Entry R
## NiHg2W (PBE)

Data for a relaxed NiHg2W crystal.

Cell: 4.615 4.615 4.615 Å, 60.00 60.00 60.00°
Site moments in Bohr magnetons follow the coordinates.
Fractional coordinates of all 4 atoms:
Hg 0.000 0.000 0.000  0.02
Ni 0.500 0.500 0.500  0.15
Hg 0.750 0.750 0.750  -0.01
W 0.250 0.250 0.250  0.74

Summary:
calculated volume = 17.4 A^3/atom
theoretical density = 15378 kg/m3



Entry S
## NiHg2W (PBE)

Data for a relaxed NiHg2W crystal.

Cell: 4.922 4.922 2.888 Å, 90.00 90.00 90.00°
Fractional coordinates of all 4 atoms:
Ni 0.500 0.000 0.500
Hg 0.000 0.000 0.000
Hg 0.500 0.500 0.000
W 0.000 0.500 0.500

Summary:
calculated volume = 17.5 A^3/atom
theoretical density = 15277 kg/m3



Energy ordering: entry P at the bottom, the next structure 0.006 eV/atom above.



Entry P
## YNi3Hg (PBE)

Data for a relaxed YNi3Hg crystal.

Cell: 4.726 4.726 4.726 Å, 90.00 90.00 90.00°
Fractional coordinates of all 5 atoms:
Hg 0.500 0.500 0.500
Ni 0.000 0.000 0.500
Y 0.000 0.000 0.000
Ni 0.000 0.500 0.000
Ni 0.500 0.000 0.000

Summary:
calculated volume = 21.1 A^3/atom
theoretical density = 7324 kg/m3



Entry Q
## YNi3Hg (PBE)

Data for a relaxed YNi3Hg crystal.

Cell: 4.717 4.717 4.717 Å, 90.00 90.00 90.00°
Fractional coordinates of all 5 atoms:
Ni 0.000 0.000 0.500
Hg 0.000 0.000 0.000
Y 0.500 0.500 0.500
Ni 0.500 0.000 0.000
Ni 0.000 0.500 0.000

Summary:
calculated volume = 21.0 A^3/atom
theoretical density = 7365 kg/m3



Energy ordering: entry Q at the bottom, the next structure 0.514 eV/atom above.



Entry P
## Y3NiHg (PBE)

Data for a relaxed Y3NiHg crystal.

Cell: 3.859 8.708 8.709 Å, 68.60 90.00 90.00°
Fractional coordinates of all 10 atoms:
Y 0.363 0.016 0.069
Ni 0.364 0.194 0.746
Ni 0.363 0.694 0.246
Y 0.863 0.012 0.673
Y 0.863 0.768 0.429
Hg 0.363 0.694 0.746
Y 0.863 0.376 0.820
Y 0.363 0.372 0.424
Y 0.863 0.620 0.064
Hg 0.863 0.194 0.247

Summary:
calculated volume = 27.2 A^3/atom
theoretical density = 6411 kg/m3



Entry Q
## Y3NiHg (PBE)

Data for a relaxed Y3NiHg crystal.

Cell: 6.002 6.002 8.708 Å, 68.12 68.12 66.43°
Fractional coordinates of all 10 atoms:
Hg 0.279 0.721 0.000
Hg 0.721 0.279 0.000
Y 0.318 0.318 0.379
Ni 0.305 0.695 0.500
Y 0.295 0.295 0.811
Y 0.705 0.705 0.189
Ni 0.695 0.305 0.500
Y 0.031 0.031 0.275
Y 0.682 0.682 0.621
Y 0.969 0.969 0.725

Summary:
calculated volume = 25.7 A^3/atom
theoretical density = 6785 kg/m3



Energy ordering: entry Q at the bottom, the next structure 0.066 eV/atom above.



Entry P
## Y4NiHg (PBE)

Data for a relaxed Y4NiHg crystal.

Cell: 6.965 7.122 7.043 Å, 90.00 94.89 90.00°
Fractional coordinates of all 12 atoms:
Hg 0.500 0.500 0.000
Y 0.685 0.665 0.645
Hg 0.000 0.000 0.000
Ni 0.500 0.000 0.500
Ni 0.000 0.500 0.500
Y 0.385 0.853 0.179
Y 0.885 0.647 0.179
Y 0.815 0.165 0.355
Y 0.315 0.335 0.355
Y 0.185 0.835 0.645
Y 0.615 0.147 0.821
Y 0.115 0.353 0.821

Summary:
calculated volume = 29.0 A^3/atom
theoretical density = 5867 kg/m3



Entry Q
## Y4NiHg (PBE)

Data for a relaxed Y4NiHg crystal.

Cell: 6.155 6.155 6.155 Å, 60.00 60.00 60.00°
Fractional coordinates of all 6 atoms:
Y 0.375 0.375 0.876
Y 0.375 0.876 0.375
Ni 0.000 0.000 0.000
Y 0.876 0.375 0.375
Y 0.375 0.375 0.375
Hg 0.750 0.750 0.750

Summary:
calculated volume = 27.5 A^3/atom
theoretical density = 6192 kg/m3



Entry R
## Y4NiHg (PBE)

Data for a relaxed Y4NiHg crystal.

Cell: 5.753 7.065 8.630 Å, 90.00 113.77 90.00°
Fractional coordinates of all 12 atoms:
Y 0.962 0.005 0.279
Y 0.439 0.750 0.578
Y 0.561 0.250 0.422
Y 0.038 0.995 0.721
Y 0.626 0.250 0.876
Ni 0.778 0.750 0.444
Y 0.038 0.505 0.721
Hg 0.764 0.750 0.948
Y 0.962 0.495 0.279
Y 0.374 0.750 0.124
Ni 0.222 0.250 0.556
Hg 0.236 0.250 0.052

Summary:
calculated volume = 26.7 A^3/atom
theoretical density = 6362 kg/m3



Energy ordering: entry R at the bottom, the next structure 0.103 eV/atom above.



Entry P
## YNiHg3 (PBE)

Data for a relaxed YNiHg3 crystal.

Cell: 5.817 5.817 5.817 Å, 90.00 90.00 90.00°
Fractional coordinates of all 5 atoms:
Ni 0.500 0.500 0.500
Hg 0.000 0.500 0.000
Hg 0.000 0.000 0.500
Hg 0.500 0.000 0.000
Y 0.000 0.000 0.000

Summary:
calculated volume = 39.4 A^3/atom
theoretical density = 6321 kg/m3



Entry Q
## YNiHg3 (PBE)

Data for a relaxed YNiHg3 crystal.

Cell: 4.933 4.933 4.933 Å, 90.00 90.00 90.00°
Fractional coordinates of all 5 atoms:
Hg 0.500 0.000 0.000
Hg 0.000 0.000 0.500
Ni 0.000 0.000 0.000
Hg 0.000 0.500 0.000
Y 0.500 0.500 0.500

Summary:
calculated volume = 24.0 A^3/atom
theoretical density = 10363 kg/m3



Energy ordering: entry Q at the bottom, the next structure 0.992 eV/atom above.



Entry P
## ZnNiHg (PBE)

Data for a relaxed ZnNiHg crystal.

Cell: 5.288 5.288 5.288 Å, 146.83 144.56 49.32°
Fractional coordinates of all 3 atoms:
Ni 0.312 0.312 0.000
Zn 0.693 0.693 0.000
Hg 0.995 0.995 0.000

Summary:
calculated volume = 15.6 A^3/atom
theoretical density = 11545 kg/m3



Entry Q
## ZnNiHg (PBE)

Data for a relaxed ZnNiHg crystal.

Cell: 4.277 4.277 2.968 Å, 90.00 90.00 120.00°
Fractional coordinates of all 3 atoms:
Ni 0.333 0.667 0.477
Hg 0.000 0.000 0.997
Zn 0.667 0.333 0.526

Summary:
calculated volume = 15.7 A^3/atom
theoretical density = 11467 kg/m3



Entry R
## ZnNiHg (PBE)

Data for a relaxed ZnNiHg crystal.

Cell: 4.240 4.240 4.240 Å, 60.00 60.00 60.00°
Fractional coordinates of all 3 atoms:
Ni 0.750 0.750 0.750
Zn 0.000 0.000 0.000
Hg 0.500 0.500 0.500

Summary:
calculated volume = 18.0 A^3/atom
theoretical density = 10000 kg/m3



Energy ordering: entry P at the bottom, the next structure 0.072 eV/atom above.



Entry P
## ZrNiHg3 (PBE)

Data for a relaxed ZrNiHg3 crystal.

Cell: 4.845 4.845 4.845 Å, 90.00 90.00 90.00°
Fractional coordinates of all 5 atoms:
Ni 0.000 0.000 0.000
Hg 0.000 0.000 0.500
Hg 0.500 0.000 0.000
Zr 0.500 0.500 0.500
Hg 0.000 0.500 0.000

Summary:
calculated volume = 22.7 A^3/atom
theoretical density = 10978 kg/m3



Entry Q
## ZrNiHg3 (PBE)

Data for a relaxed ZrNiHg3 crystal.

Cell: 5.554 5.554 5.554 Å, 90.00 90.00 90.00°
Fractional coordinates of all 5 atoms:
Ni 0.500 0.500 0.500
Hg 0.000 0.000 0.500
Hg 0.000 0.500 0.000
Hg 0.500 0.000 0.000
Zr 0.000 0.000 0.000

Summary:
calculated volume = 34.3 A^3/atom
theoretical density = 7285 kg/m3



Energy ordering: entry P at the bottom, the next structure 0.751 eV/atom above.